Entry 1:
MnNb3Cr | PBE-GGA | optimized geometry

Cell: 4.541 4.541 4.541 Å, 90.00 90.00 90.00°
Positions (direct):
Nb (0.000, 0.500, 0.000)
Cr (0.500, 0.500, 0.500)
Nb (0.000, 0.000, 0.500)
Mn (0.000, 0.000, 0.000)
Nb (0.500, 0.000, 0.000)

Calculated values
E_form: 1123 meV/atom
Calculated total energy: -8.68 eV/atom


Entry 2:
La2BeSbC | PBE-GGA | optimized geometry

Cell: 5.602 5.602 3.494 Å, 90.00 90.00 90.00°
Positions (direct):
La (0.000, 0.500, 0.000)
C (0.000, 0.000, 0.000)
Be (0.000, 0.000, 0.500)
La (0.500, 0.000, 0.000)
Sb (0.500, 0.500, 0.500)

Calculated values
E_form (uncorrected): -0.47 eV/atom
Calculated total energy: -5.86 eV/atom


Entry 3:
ZrRhSe2 | PBE-GGA | optimized geometry

Cell: 8.480 8.480 8.480 Å, 24.37 24.37 24.37°
Last column: magnetic moment on the atom in μB.
Positions (direct):
Se (0.097, 0.097, 0.097)  0.01
Zr (0.500, 0.500, 0.500)  0.00
Rh (0.000, 0.000, 0.000)  0.48
Se (0.903, 0.903, 0.903)  0.01

Calculated values
E_form (uncorrected): -0.47 eV/atom
Calculated total energy: -6.19 eV/atom


Entry 4:
Pm4TmPt2 | PBE-GGA | optimized geometry

Cell: 5.217 5.217 9.372 Å, 73.84 73.84 60.00°
Positions (direct):
Pm (0.890, 0.890, 0.331)
Tm (0.500, 0.500, 0.500)
Pt (0.399, 0.399, 0.803)
Pm (0.110, 0.110, 0.669)
Pm (0.293, 0.293, 0.121)
Pt (0.601, 0.601, 0.197)
Pm (0.707, 0.707, 0.879)

Calculated values
E_form: -535 meV/atom
Calculated total energy: -5.61 eV/atom


Entry 5:
ReOs2Se | PBE-GGA | optimized geometry

Cell: 5.047 5.047 4.445 Å, 87.96 87.96 33.25°
Positions (direct):
Os (0.029, 0.029, 0.978)
Se (0.247, 0.247, 0.237)
Os (0.757, 0.757, 0.767)
Re (0.467, 0.467, 0.518)

Calculated values
E_form (uncorrected): 0.53 eV/atom
Calculated total energy: -9.07 eV/atom


Entry 6:
BaYTc2O8 | PBE-GGA | optimized geometry

Cell: 5.929 5.929 7.612 Å, 90.00 90.00 120.00°
Last column: magnetic moment on the atom in μB.
Positions (direct):
O (0.163, 0.329, 0.697)  0.07
Ba (0.000, 0.000, 0.000)  0.01
O (0.166, 0.837, 0.697)  0.07
Tc (0.333, 0.667, 0.771)  0.98
O (0.837, 0.671, 0.303)  0.07
O (0.329, 0.166, 0.303)  0.07
Tc (0.667, 0.333, 0.229)  0.98
O (0.671, 0.834, 0.697)  0.07
O (0.834, 0.163, 0.303)  0.07
Y (0.000, 0.000, 0.500)  0.07
O (0.333, 0.667, 0.005)  0.12
O (0.667, 0.333, 0.995)  0.12

Calculated values
E_form (uncorrected): -2.07 eV/atom
Calculated total energy: -7.80 eV/atom


Entry 7:
Pm2Ni3Ge | PBE-GGA | optimized geometry

Cell: 3.989 4.016 7.728 Å, 105.06 104.95 90.00°
Positions (direct):
Ni (0.708, 0.708, 0.415)
Ni (0.543, 0.543, 0.086)
Ge (0.460, 0.960, 0.920)
Pm (0.128, 0.128, 0.256)
Pm (0.868, 0.368, 0.736)
Ni (0.293, 0.793, 0.587)

Calculated values
E_form: -502 meV/atom
Calculated total energy: -5.75 eV/atom


Entry 8:
ReRu | PBE-GGA | optimized geometry

Cell: 6.809 6.809 6.809 Å, 90.00 90.00 90.00°
Positions (direct):
Ru (0.750, 0.000, 0.500)
Re (0.000, 0.750, 0.500)
Re (0.000, 0.250, 0.500)
Ru (0.250, 0.000, 0.500)
Ru (0.500, 0.250, 0.000)
Re (0.750, 0.500, 0.000)
Re (0.500, 0.000, 0.750)
Ru (0.000, 0.500, 0.750)
Re (0.500, 0.000, 0.250)
Re (0.250, 0.500, 0.000)
Ru (0.000, 0.500, 0.250)
Ru (0.500, 0.750, 0.000)

Calculated values
E_form: 1694 meV/atom
Calculated total energy: -9.17 eV/atom


Entry 9:
Tl2CdAsSe4 | PBE-GGA | optimized geometry

Cell: 8.378 8.378 8.491 Å, 120.45 120.45 90.14°
Positions (direct):
Se (0.757, 0.743, 0.533)
Tl (0.500, 0.500, 0.000)
Se (0.242, 0.257, 0.033)
Se (0.785, 0.250, 0.018)
Se (0.250, 0.715, 0.482)
Tl (0.500, 0.000, 0.500)
Se (0.243, 0.258, 0.467)
Cd (0.000, 0.500, 0.000)
As (0.500, 0.500, 0.500)
Tl (0.500, 0.000, 0.000)
Cd (0.000, 0.500, 0.500)
Se (0.750, 0.285, 0.518)
As (0.000, 0.000, 0.000)
Tl (0.000, 0.000, 0.500)
Se (0.215, 0.750, 0.982)
Se (0.757, 0.743, 0.967)

Calculated values
E_form (uncorrected): -0.30 eV/atom
Calculated total energy: -3.32 eV/atom


Entry 10:
NaPm2MnSe4 | PBE-GGA | optimized geometry

Cell: 4.147 7.207 7.029 Å, 109.87 90.00 90.00°
Last column: magnetic moment on the atom in μB.
Positions (direct):
Se (0.000, 0.245, 0.758)  0.02
Pm (0.000, 0.500, 0.500)  -0.06
Mn (0.000, 0.000, 0.000)  4.16
Pm (0.500, 0.000, 0.500)  -0.05
Se (0.500, 0.236, 0.232)  0.03
Se (0.000, 0.755, 0.242)  0.02
Se (0.500, 0.764, 0.768)  0.03
Na (0.500, 0.500, 0.000)  0.00

Calculated values
E_form (uncorrected): -1.36 eV/atom
Calculated total energy: -5.60 eV/atom


Entry 11:
Y3TmZn | PBE-GGA | optimized geometry

Cell: 7.181 7.181 7.634 Å, 102.27 117.06 106.89°
Positions (direct):
Y (0.226, 0.396, 0.223)
Y (0.774, 0.604, 0.777)
Tm (0.307, 0.920, 0.228)
Zn (0.345, 0.228, 0.573)
Zn (0.655, 0.772, 0.427)
Y (0.828, 0.997, 0.223)
Tm (0.693, 0.080, 0.772)
Y (0.735, 0.455, 0.190)
Y (0.172, 0.003, 0.777)
Y (0.265, 0.545, 0.810)

Calculated values
E_form: 43 meV/atom
Calculated total energy: -4.98 eV/atom


Entry 12:
BeZnPb2 | PBE-GGA | optimized geometry

Cell: 5.252 5.252 5.252 Å, 132.73 116.67 82.68°
Positions (direct):
Zn (0.750, 0.250, 0.500)
Pb (0.475, 0.475, 0.000)
Be (0.250, 0.750, 0.500)
Pb (0.025, 0.025, 0.000)

Calculated values
E_form: 491 meV/atom
Calculated total energy: -2.61 eV/atom